No. 1
! CsCaLa2Ru GGA-PBE optimized geometry; values from VASP
&SYSTEM
  ibrav = 0, nat = 5, ntyp = 4
/
ATOMIC_SPECIES
Cs 132.91 Cs.upf
Ca 40.08 Ca.upf
La 138.91 La.upf
Ru 101.07 Ru.upf
CELL_PARAMETERS angstrom
5.565 0.000 0.000
0.000 5.565 0.000
0.000 0.000 6.243
ATOMIC_POSITIONS crystal
Cs 0.000 0.000 0.000
Ca 0.500 0.500 0.000
La 0.000 0.500 0.500
La 0.500 0.000 0.500
Ru 0.500 0.500 0.500
! Raw total energy (eV per atom): -4.35
! SG: No. 123
! D(E_F) (states/eV/atom): 0.738
! DFT formation energy (meV/atom): 51

---

No. 2
! CeTmCd2 GGA-PBE optimized geometry; values from VASP
&SYSTEM
  ibrav = 0, nat = 4, ntyp = 3
/
ATOMIC_SPECIES
Ce 140.12 Ce.upf
Tm 168.93 Tm.upf
Cd 112.41 Cd.upf
CELL_PARAMETERS angstrom
3.406 0.000 0.000
0.000 3.406 0.000
0.000 0.000 8.901
ATOMIC_POSITIONS crystal
Ce 0.000 0.000 0.000
Tm 0.000 0.000 0.500
Cd 0.500 0.500 0.263
Cd 0.500 0.500 0.737
! Raw total energy (eV per atom): -3.28
! SG: No. 123
! D(E_F) (states/eV/atom): 1.808
! DFT formation energy (meV/atom): -217
! Relative energy among the computed polymorphs (meV per atom): 0

---

No. 3
! RbLaTl2 GGA-PBE optimized geometry; values from VASP
&SYSTEM
  ibrav = 0, nat = 4, ntyp = 3
/
ATOMIC_SPECIES
Rb 85.47 Rb.upf
La 138.91 La.upf
Tl 204.38 Tl.upf
CELL_PARAMETERS angstrom
2.003 1.157 11.078
-2.003 1.157 11.078
0.000 -2.313 11.078
ATOMIC_POSITIONS crystal
Rb 0.000 0.000 0.000
La 0.500 0.500 0.500
Tl 0.242 0.242 0.242
Tl 0.758 0.758 0.758
! Raw total energy (eV per atom): -2.70
! SG: No. 166
! D(E_F) (states/eV/atom): 0.962
! DFT formation energy (meV/atom): -47
! Relative energy among the computed polymorphs (meV per atom): 169